# RbU2AgS5, optimized geometry, DFT PBE
# DOS at the Fermi energy	33.647	states/eV/cell
# ΔE_f (raw)	-1.174	eV per atom
# electronic total energy	-6.400	eV/atom
# size of the total moment	16.0	μB per cell
data_RbU2AgS5
_symmetry_space_group_name_H-M 'I 4/m c m'
_symmetry_Int_Tables_number 140
_symmetry_space_group_name_Hall '-I 4 2c'
_cell_length_a 7.592
_cell_length_b 7.592
_cell_length_c 14.846
_cell_angle_alpha 90.00
_cell_angle_beta 90.00
_cell_angle_gamma 90.00
loop_
_atom_site_label
_atom_site_fract_x
_atom_site_fract_y
_atom_site_fract_z
Rb1 0.000 0.000 0.250
U1 0.162 0.338 0.000
Ag1 0.000 0.500 0.250
S1 0.000 0.000 0.000
S2 0.146 0.354 0.386


# GdCdPdRh, optimized geometry, DFT PBE
# DOS at the Fermi energy	9.020	states/eV/cell
# calculated formation energy	-59	kJ/mol of atoms
# electronic total energy	-7.497	eV/atom
# size of the total moment	28.6	μB per cell
data_GdCdPdRh
_symmetry_space_group_name_H-M 'F -4 3 m'
_symmetry_Int_Tables_number 216
_symmetry_space_group_name_Hall 'F -4 2 3'
_cell_length_a 6.744
_cell_length_b 6.744
_cell_length_c 6.744
_cell_angle_alpha 90.00
_cell_angle_beta 90.00
_cell_angle_gamma 90.00
loop_
_atom_site_label
_atom_site_fract_x
_atom_site_fract_y
_atom_site_fract_z
Gd1 0.000 0.000 0.000
Cd1 0.000 0.000 0.500
Pd1 0.250 0.250 0.250
Rh1 0.250 0.250 0.750


# CrReHg2, optimized geometry, DFT PBE
# DOS at the Fermi energy	17.046	states/eV/cell
# calculated formation energy	117	kJ/mol of atoms
# electronic total energy	-4.455	eV/atom
# size of the total moment	10.6	μB per cell
# excess energy over the best structure of this formula in the dataset	785	meV per atom
data_CrReHg2
_symmetry_space_group_name_H-M 'I -4 2 d'
_symmetry_Int_Tables_number 122
_symmetry_space_group_name_Hall 'I -4 2bw'
_cell_length_a 7.578
_cell_length_b 7.578
_cell_length_c 5.556
_cell_angle_alpha 90.00
_cell_angle_beta 90.00
_cell_angle_gamma 90.00
loop_
_atom_site_label
_atom_site_fract_x
_atom_site_fract_y
_atom_site_fract_z
Cr1 0.000 0.000 0.000
Re1 0.000 0.000 0.500
Hg1 0.248 0.250 0.625


# Cr2MoAu4, optimized geometry, DFT PBE
# DOS at the Fermi energy	17.943	states/eV/cell
# calculated formation energy	102	kJ/mol of atoms
# electronic total energy	-5.111	eV/atom
# size of the total moment	14.9	μB per cell
data_Cr2MoAu4
_symmetry_space_group_name_H-M 'I 4/m m m'
_symmetry_Int_Tables_number 139
_symmetry_space_group_name_Hall '-I 4 2'
_cell_length_a 5.029
_cell_length_b 5.029
_cell_length_c 13.346
_cell_angle_alpha 90.00
_cell_angle_beta 90.00
_cell_angle_gamma 90.00
loop_
_atom_site_label
_atom_site_fract_x
_atom_site_fract_y
_atom_site_fract_z
Cr1 0.000 0.000 0.107
Mo1 0.000 0.000 0.500
Au1 0.000 0.000 0.304
Au2 0.000 0.500 0.000